Entry a
# GGA-PBEsol CdSb3, relaxed
data_CdSb3
_cell_length_a 3.2825
_cell_length_b 3.2825
_cell_length_c 32.5196
_cell_angle_alpha 90.00
_cell_angle_beta 90.00
_cell_angle_gamma 120.00
_space_group_name_H-M_alt 'R -3 m'
_space_group_IT_number 166
_space_group_name_Hall '-R 3 2"'
loop_
_atom_site_label
_atom_site_type_symbol
_atom_site_fract_x
_atom_site_fract_y
_atom_site_fract_z
_atom_site_occupancy
Cd1 Cd 0.0000 0.0000 0.0000 1
Sb1 Sb 0.0000 0.0000 0.2542 1
Sb2 Sb 0.0000 0.0000 0.5000 1
# - density of states at the Fermi level (states/eV/f.u.) = 2.6
# - calculated volume (Å³ per cell) = 303
# - magnetic moment (μB per cell) = 0.0
# - ρ (g/cm³) = 7.8

Entry b
# GGA-PBEsol CdSb3, relaxed
data_CdSb3
_cell_length_a 3.081
_cell_length_b 4.188
_cell_length_c 8.509
_cell_angle_alpha 90.00
_cell_angle_beta 98.92
_cell_angle_gamma 90.00
_space_group_name_H-M_alt 'P 1 2/m 1'
_space_group_IT_number 10
_space_group_name_Hall '-P 2y'
loop_
_atom_site_label
_atom_site_type_symbol
_atom_site_fract_x
_atom_site_fract_y
_atom_site_fract_z
_atom_site_occupancy
Cd1 Cd 0.000 0.000 0.000 1
Sb1 Sb 0.000 0.000 0.500 1
Sb2 Sb 0.125 0.500 0.762 1
# - density of states at the Fermi level (states/eV/f.u.) = 1.8
# - calculated volume (Å³ per cell) = 108
# - magnetic moment (μB per cell) = 0.0
# - ρ (g/cm³) = 7.3

Most stable to least stable, the ends of the list are entry b and entry a.

Entry a
# GGA-PBEsol CdSb, relaxed
data_CdSb
_cell_length_a 6.435
_cell_length_b 8.249
_cell_length_c 8.536
_cell_angle_alpha 90.00
_cell_angle_beta 90.00
_cell_angle_gamma 90.00
_space_group_name_H-M_alt 'P b c a'
_space_group_IT_number 61
_space_group_name_Hall '-P 2ac 2ab'
loop_
_atom_site_label
_atom_site_type_symbol
_atom_site_fract_x
_atom_site_fract_y
_atom_site_fract_z
_atom_site_occupancy
Cd1 Cd 0.046 0.120 0.132 1
Sb1 Sb 0.140 0.575 0.895 1
# - density of states at the Fermi level (states/eV/f.u.) = 0.0
# - calculated volume (Å³ per cell) = 453
# - magnetic moment (μB per cell) = 0.0
# - ρ (g/cm³) = 6.9

Entry b
# GGA-PBEsol CdSb, relaxed
data_CdSb
_cell_length_a 4.0960
_cell_length_b 4.0960
_cell_length_c 21.8604
_cell_angle_alpha 90.00
_cell_angle_beta 90.00
_cell_angle_gamma 120.00
_space_group_name_H-M_alt 'R -3 m'
_space_group_IT_number 166
_space_group_name_Hall '-R 3 2"'
loop_
_atom_site_label
_atom_site_type_symbol
_atom_site_fract_x
_atom_site_fract_y
_atom_site_fract_z
_atom_site_occupancy
Cd1 Cd 0.0000 0.0000 0.1276 1
Sb1 Sb 0.0000 0.0000 0.3744 1
# - density of states at the Fermi level (states/eV/f.u.) = 0.8
# - calculated volume (Å³ per cell) = 318
# - magnetic moment (μB per cell) = 0.0
# - ρ (g/cm³) = 7.3

Most stable to least stable, the ends of the list are entry a and entry b.

Entry a
# GGA-PBEsol CdSb, relaxed
data_CdSb
_cell_length_a 3.211
_cell_length_b 4.771
_cell_length_c 6.643
_cell_angle_alpha 90.00
_cell_angle_beta 90.00
_cell_angle_gamma 90.00
_space_group_name_H-M_alt 'P m m n'
_space_group_IT_number 59
loop_
_space_group_symop_operation_xyz
'x,y,z'
'-x,-y,-z'
'-x+1/2,-y+1/2,z'
'x+1/2,y+1/2,-z'
'x+1/2,-y,-z'
'-x+1/2,y,z'
'-x,y+1/2,-z'
'x,-y+1/2,z'
loop_
_atom_site_label
_atom_site_type_symbol
_atom_site_fract_x
_atom_site_fract_y
_atom_site_fract_z
_atom_site_occupancy
Cd1 Cd 0.250 0.250 0.087 1
Sb1 Sb 0.250 0.750 0.332 1
# - density of states at the Fermi level (states/eV/f.u.) = 0.8
# - calculated volume (Å³ per cell) = 102
# - magnetic moment (μB per cell) = 0.0
# - ρ (g/cm³) = 7.6

Entry b
# GGA-PBEsol CdSb, relaxed
data_CdSb
_cell_length_a 3.132
_cell_length_b 5.402
_cell_length_c 5.850
_cell_angle_alpha 90.00
_cell_angle_beta 90.00
_cell_angle_gamma 90.00
_space_group_name_H-M_alt 'I m m m'
_space_group_IT_number 71
_space_group_name_Hall '-I 2 2'
loop_
_atom_site_label
_atom_site_type_symbol
_atom_site_fract_x
_atom_site_fract_y
_atom_site_fract_z
_atom_site_occupancy
Cd1 Cd 0.000 0.000 0.000 1
Sb1 Sb 0.000 0.000 0.500 1
# - density of states at the Fermi level (states/eV/f.u.) = 0.8
# - calculated volume (Å³ per cell) = 99
# - magnetic moment (μB per cell) = 0.0
# - ρ (g/cm³) = 7.9

Most stable to least stable, the ends of the list are entry b and entry a.

Entry a
# GGA-PBEsol CdSi2Sb, relaxed
data_CdSi2Sb
_cell_length_a 3.355
_cell_length_b 3.355
_cell_length_c 7.133
_cell_angle_alpha 90.00
_cell_angle_beta 90.00
_cell_angle_gamma 90.00
_space_group_name_H-M_alt 'P 4 m m'
_space_group_IT_number 99
_space_group_name_Hall 'P 4 -2'
loop_
_atom_site_label
_atom_site_type_symbol
_atom_site_fract_x
_atom_site_fract_y
_atom_site_fract_z
_atom_site_occupancy
Cd1 Cd 0.000 0.000 0.000 1
Si1 Si 0.000 0.000 0.603 1
Si2 Si 0.500 0.500 0.711 1
Sb1 Sb 0.500 0.500 0.305 1
# - density of states at the Fermi level (states/eV/f.u.) = 1.8
# - calculated volume (Å³ per cell) = 80
# - magnetic moment (μB per cell) = 0.0
# - ρ (g/cm³) = 6.0

Entry b
# GGA-PBEsol CdSi2Sb, relaxed
data_CdSi2Sb
_cell_length_a 3.665
_cell_length_b 4.621
_cell_length_c 4.725
_cell_angle_alpha 90.00
_cell_angle_beta 90.00
_cell_angle_gamma 90.00
_space_group_name_H-M_alt 'P m m m'
_space_group_IT_number 47
_space_group_name_Hall '-P 2 2'
loop_
_atom_site_label
_atom_site_type_symbol
_atom_site_fract_x
_atom_site_fract_y
_atom_site_fract_z
_atom_site_occupancy
Cd1 Cd 0.000 0.000 0.000 1
Si1 Si 0.500 0.000 0.500 1
Si2 Si 0.500 0.500 0.000 1
Sb1 Sb 0.000 0.500 0.500 1
# - density of states at the Fermi level (states/eV/f.u.) = 1.9
# - calculated volume (Å³ per cell) = 80
# - magnetic moment (μB per cell) = 0.0
# - ρ (g/cm³) = 6.0

Most stable to least stable, the ends of the list are entry a and entry b.